1.
# Nd2TlRh (PBE, relaxed)
# Energy relative to the lowest polymorph listed for this composition in eV/f.u.: 0.06
# ΔH_f (0 K) in meV per atom: -503
# DOS(E_F) in states/eV/cell: 3.6
# Total DFT energy (no corrections) in eV for the cell shown: -21.27
# Space-group type: P4/mmm, No. 123
data_Nd2TlRh
_chemical_formula_sum 'Nd2 Tl1 Rh1'
_space_group_name_H-M_alt 'P 1'
_space_group_IT_number 1
_space_group_name_Hall 'P 1'
_cell_length_a 3.596
_cell_length_b 3.596
_cell_length_c 8.081
_cell_angle_alpha 90.00
_cell_angle_beta 90.00
_cell_angle_gamma 90.00
loop_
_atom_site_label
_atom_site_type_symbol
_atom_site_fract_x
_atom_site_fract_y
_atom_site_fract_z
Tl1 Tl 0.500 0.500 0.500
Nd1 Nd 0.000 0.000 0.212
Nd2 Nd 0.000 0.000 0.788
Rh1 Rh 0.500 0.500 0.000



2.
# Nd4TlRh (PBE, relaxed)
# Energy relative to the lowest polymorph listed for this composition in eV/f.u.: 0.40
# ΔH_f (0 K) in meV per atom: -370
# DOS(E_F) in states/eV/cell: 13.5
# Total DFT energy (no corrections) in eV for the cell shown: -62.02
# Space-group type: C2/c, No. 15
data_Nd4TlRh
_chemical_formula_sum 'Nd8 Tl2 Rh2'
_space_group_name_H-M_alt 'P 1'
_space_group_IT_number 1
_space_group_name_Hall 'P 1'
_cell_length_a 6.186
_cell_length_b 8.551
_cell_length_c 8.427
_cell_angle_alpha 113.83
_cell_angle_beta 102.96
_cell_angle_gamma 106.35
loop_
_atom_site_label
_atom_site_type_symbol
_atom_site_fract_x
_atom_site_fract_y
_atom_site_fract_z
Tl1 Tl 0.629 0.379 0.758
Tl2 Tl 0.371 0.621 0.242
Rh1 Rh 0.249 0.999 0.998
Rh2 Rh 0.751 0.001 0.002
Nd1 Nd 0.686 0.345 0.142
Nd2 Nd 0.223 0.298 0.367
Nd3 Nd 0.956 0.797 0.142
Nd4 Nd 0.044 0.203 0.858
Nd5 Nd 0.644 0.069 0.367
Nd6 Nd 0.356 0.931 0.633
Nd7 Nd 0.777 0.702 0.633
Nd8 Nd 0.314 0.655 0.858



3.
# Nd3Tl2Rh (PBE, relaxed)
# Energy relative to the lowest polymorph listed for this composition in eV/f.u.: 0.00
# ΔH_f (0 K) in meV per atom: -455
# DOS(E_F) in states/eV/cell: 18.2
# Total DFT energy (no corrections) in eV for the cell shown: -116.46
# Space-group type: Pnma, No. 62
data_Nd3Tl2Rh
_chemical_formula_sum 'Nd12 Tl8 Rh4'
_space_group_name_H-M_alt 'P 1'
_space_group_IT_number 1
_space_group_name_Hall 'P 1'
_cell_length_a 4.116
_cell_length_b 12.929
_cell_length_c 13.209
_cell_angle_alpha 90.00
_cell_angle_beta 90.00
_cell_angle_gamma 90.00
loop_
_atom_site_label
_atom_site_type_symbol
_atom_site_fract_x
_atom_site_fract_y
_atom_site_fract_z
Rh1 Rh 0.750 0.877 0.866
Rh2 Rh 0.250 0.377 0.634
Rh3 Rh 0.250 0.123 0.134
Rh4 Rh 0.750 0.623 0.366
Nd1 Nd 0.250 0.036 0.883
Nd2 Nd 0.250 0.464 0.383
Nd3 Nd 0.750 0.876 0.463
Nd4 Nd 0.750 0.964 0.117
Nd5 Nd 0.750 0.536 0.617
Nd6 Nd 0.250 0.376 0.037
Nd7 Nd 0.250 0.124 0.537
Nd8 Nd 0.250 0.782 0.749
Nd9 Nd 0.750 0.282 0.751
Nd10 Nd 0.750 0.624 0.963
Nd11 Nd 0.250 0.718 0.249
Nd12 Nd 0.750 0.218 0.251
Tl1 Tl 0.250 0.002 0.315
Tl2 Tl 0.750 0.305 0.493
Tl3 Tl 0.750 0.502 0.185
Tl4 Tl 0.250 0.695 0.507
Tl5 Tl 0.250 0.498 0.815
Tl6 Tl 0.750 0.998 0.685
Tl7 Tl 0.250 0.805 0.007
Tl8 Tl 0.750 0.195 0.993



4.
# Nd7Tl2Rh2 (PBE, relaxed)
# Energy relative to the lowest polymorph listed for this composition in eV/f.u.: 0.00
# ΔH_f (0 K) in meV per atom: -356
# DOS(E_F) in states/eV/cell: 13.4
# Total DFT energy (no corrections) in eV for the cell shown: -56.72
# Space-group type: Imm2, No. 44
data_Nd7Tl2Rh2
_chemical_formula_sum 'Nd7 Tl2 Rh2'
_space_group_name_H-M_alt 'P 1'
_space_group_IT_number 1
_space_group_name_Hall 'P 1'
_cell_length_a 4.010
_cell_length_b 9.622
_cell_length_c 9.622
_cell_angle_alpha 65.94
_cell_angle_beta 77.97
_cell_angle_gamma 77.97
loop_
_atom_site_label
_atom_site_type_symbol
_atom_site_fract_x
_atom_site_fract_y
_atom_site_fract_z
Nd1 Nd 0.601 0.502 0.296
Nd2 Nd 0.500 0.016 0.984
Nd3 Nd 0.829 0.033 0.309
Nd4 Nd 0.121 0.171 0.587
Nd5 Nd 0.879 0.413 0.829
Nd6 Nd 0.399 0.704 0.498
Nd7 Nd 0.171 0.691 0.967
Rh1 Rh 0.500 0.355 0.645
Rh2 Rh 0.000 0.796 0.204
Tl1 Tl 0.729 0.857 0.685
Tl2 Tl 0.271 0.315 0.143



5.
# Nd5Tl2Rh (PBE, relaxed)
# Energy relative to the lowest polymorph listed for this composition in eV/f.u.: 0.00
# ΔH_f (0 K) in meV per atom: -416
# DOS(E_F) in states/eV/cell: 13.7
# Total DFT energy (no corrections) in eV for the cell shown: -78.50
# Space-group type: Pbam, No. 55
data_Nd5Tl2Rh
_chemical_formula_sum 'Nd10 Tl4 Rh2'
_space_group_name_H-M_alt 'P 1'
_space_group_IT_number 1
_space_group_name_Hall 'P 1'
_cell_length_a 4.868
_cell_length_b 7.977
_cell_length_c 12.485
_cell_angle_alpha 90.00
_cell_angle_beta 90.00
_cell_angle_gamma 90.00
loop_
_atom_site_label
_atom_site_type_symbol
_atom_site_fract_x
_atom_site_fract_y
_atom_site_fract_z
Nd1 Nd 0.500 0.684 0.427
Nd2 Nd 0.000 0.000 0.500
Nd3 Nd 0.000 0.633 0.704
Nd4 Nd 0.000 0.133 0.796
Nd5 Nd 0.500 0.184 0.073
Nd6 Nd 0.500 0.316 0.573
Nd7 Nd 0.000 0.500 0.000
Nd8 Nd 0.000 0.867 0.204
Nd9 Nd 0.000 0.367 0.296
Nd10 Nd 0.500 0.816 0.927
Tl1 Tl 0.500 0.080 0.332
Tl2 Tl 0.500 0.580 0.168
Tl3 Tl 0.500 0.420 0.832
Tl4 Tl 0.500 0.920 0.668
Rh1 Rh 0.000 0.000 0.000
Rh2 Rh 0.000 0.500 0.500



6.
# Nd7TlRh2 (PBE, relaxed)
# ΔH_f (0 K) in meV per atom: -184
# DOS(E_F) in states/eV/cell: 9.0
# Total DFT energy (no corrections) in eV for the cell shown: -52.29
# Space-group type: Cmmm, No. 65
data_Nd7TlRh2
_chemical_formula_sum 'Nd7 Tl1 Rh2'
_space_group_name_H-M_alt 'P 1'
_space_group_IT_number 1
_space_group_name_Hall 'P 1'
_cell_length_a 5.344
_cell_length_b 8.409
_cell_length_c 8.409
_cell_angle_alpha 113.38
_cell_angle_beta 90.00
_cell_angle_gamma 90.00
loop_
_atom_site_label
_atom_site_type_symbol
_atom_site_fract_x
_atom_site_fract_y
_atom_site_fract_z
Nd1 Nd 0.000 0.290 0.710
Nd2 Nd 0.500 0.055 0.311
Nd3 Nd 0.500 0.689 0.945
Nd4 Nd 0.500 0.500 0.500
Nd5 Nd 0.000 0.710 0.290
Nd6 Nd 0.500 0.311 0.055
Nd7 Nd 0.500 0.945 0.689
Tl1 Tl 0.000 0.000 0.000
Rh1 Rh 0.500 0.702 0.298
Rh2 Rh 0.500 0.298 0.702



7.
# Nd2TlRh3 (PBE, relaxed)
# ΔH_f (0 K) in meV per atom: -274
# DOS(E_F) in states/eV/cell: 3.5
# Total DFT energy (no corrections) in eV for the cell shown: -35.60
# Space-group type: Immm, No. 71
data_Nd2TlRh3
_chemical_formula_sum 'Nd2 Tl1 Rh3'
_space_group_name_H-M_alt 'P 1'
_space_group_IT_number 1
_space_group_name_Hall 'P 1'
_cell_length_a 4.776
_cell_length_b 5.568
_cell_length_c 6.219
_cell_angle_alpha 116.59
_cell_angle_beta 112.58
_cell_angle_gamma 90.00
loop_
_atom_site_label
_atom_site_type_symbol
_atom_site_fract_x
_atom_site_fract_y
_atom_site_fract_z
Rh1 Rh 0.360 0.360 0.720
Rh2 Rh 0.640 0.640 0.280
Rh3 Rh 0.000 0.000 0.000
Nd1 Nd 0.321 0.821 0.641
Nd2 Nd 0.679 0.179 0.359
Tl1 Tl 0.000 0.500 0.000



8.
# Nd2TlRh (PBE, relaxed)
# Energy relative to the lowest polymorph listed for this composition in eV/f.u.: 0.53
# ΔH_f (0 K) in meV per atom: -386
# DOS(E_F) in states/eV/cell: 3.5
# Total DFT energy (no corrections) in eV for the cell shown: -20.80
# Space-group type: Fm-3m, No. 225
data_Nd2TlRh
_chemical_formula_sum 'Nd2 Tl1 Rh1'
_space_group_name_H-M_alt 'P 1'
_space_group_IT_number 1
_space_group_name_Hall 'P 1'
_cell_length_a 5.280
_cell_length_b 5.280
_cell_length_c 5.280
_cell_angle_alpha 60.00
_cell_angle_beta 60.00
_cell_angle_gamma 60.00
loop_
_atom_site_label
_atom_site_type_symbol
_atom_site_fract_x
_atom_site_fract_y
_atom_site_fract_z
Tl1 Tl 0.500 0.500 0.500
Rh1 Rh 0.000 0.000 0.000
Nd1 Nd 0.250 0.250 0.250
Nd2 Nd 0.750 0.750 0.750



9.
# Nd11Tl9Rh4 (PBE, relaxed)
# ΔH_f (0 K) in meV per atom: -528
# DOS(E_F) in states/eV/cell: 16.7
# Total DFT energy (no corrections) in eV for the cell shown: -115.81
# Space-group type: Cmmm, No. 65
data_Nd11Tl9Rh4
_chemical_formula_sum 'Nd11 Tl9 Rh4'
_space_group_name_H-M_alt 'P 1'
_space_group_IT_number 1
_space_group_name_Hall 'P 1'
_cell_length_a 3.830
_cell_length_b 13.551
_cell_length_c 13.551
_cell_angle_alpha 112.37
_cell_angle_beta 90.00
_cell_angle_gamma 90.00
loop_
_atom_site_label
_atom_site_type_symbol
_atom_site_fract_x
_atom_site_fract_y
_atom_site_fract_z
Nd1 Nd 0.000 0.374 0.626
Nd2 Nd 0.000 0.312 0.312
Nd3 Nd 0.000 0.919 0.583
Nd4 Nd 0.000 0.000 0.000
Nd5 Nd 0.000 0.081 0.417
Nd6 Nd 0.000 0.837 0.163
Nd7 Nd 0.000 0.583 0.919
Nd8 Nd 0.000 0.626 0.374
Nd9 Nd 0.000 0.417 0.081
Nd10 Nd 0.000 0.688 0.688
Nd11 Nd 0.000 0.163 0.837
Rh1 Rh 0.500 0.247 0.449
Rh2 Rh 0.500 0.449 0.247
Rh3 Rh 0.500 0.551 0.753
Rh4 Rh 0.500 0.753 0.551
Tl1 Tl 0.500 0.782 0.926
Tl2 Tl 0.500 0.843 0.368
Tl3 Tl 0.500 0.500 0.500
Tl4 Tl 0.500 0.632 0.157
Tl5 Tl 0.500 0.368 0.843
Tl6 Tl 0.500 0.218 0.074
Tl7 Tl 0.500 0.157 0.632
Tl8 Tl 0.500 0.926 0.782
Tl9 Tl 0.500 0.074 0.218



10.
# Nd12Tl6Rh (PBE, relaxed)
# ΔH_f (0 K) in meV per atom: -210
# DOS(E_F) in states/eV/cell: 20.9
# Total DFT energy (no corrections) in eV for the cell shown: -82.75
# Space-group type: R-3, No. 148
data_Nd12Tl6Rh
_chemical_formula_sum 'Nd12 Tl6 Rh1'
_space_group_name_H-M_alt 'P 1'
_space_group_IT_number 1
_space_group_name_Hall 'P 1'
_cell_length_a 8.582
_cell_length_b 8.582
_cell_length_c 8.582
_cell_angle_alpha 93.98
_cell_angle_beta 93.98
_cell_angle_gamma 93.98
loop_
_atom_site_label
_atom_site_type_symbol
_atom_site_fract_x
_atom_site_fract_y
_atom_site_fract_z
Tl1 Tl 0.732 0.346 0.139
Tl2 Tl 0.654 0.861 0.268
Tl3 Tl 0.268 0.654 0.861
Tl4 Tl 0.346 0.139 0.732
Tl5 Tl 0.139 0.732 0.346
Tl6 Tl 0.861 0.268 0.654
Nd1 Nd 0.200 0.427 0.544
Nd2 Nd 0.684 0.030 0.912
Nd3 Nd 0.912 0.684 0.030
Nd4 Nd 0.088 0.316 0.970
Nd5 Nd 0.970 0.088 0.316
Nd6 Nd 0.427 0.544 0.200
Nd7 Nd 0.030 0.912 0.684
Nd8 Nd 0.316 0.970 0.088
Nd9 Nd 0.800 0.573 0.456
Nd10 Nd 0.456 0.800 0.573
Nd11 Nd 0.573 0.456 0.800
Nd12 Nd 0.544 0.200 0.427
Rh1 Rh 0.000 0.000 0.000



The records above give, respectively, density values of 9.47 8.13 8.92 8.21 8.45 6.80 9.97 9.50 9.80 8.10 g/cm³.